No. 1
! LaHo3Mg (PBE, relaxed); values from VASP
&SYSTEM
  ibrav = 0, nat = 10, ntyp = 3
/
ATOMIC_SPECIES
Ho 164.93 Ho.upf
La 138.91 La.upf
Mg 24.30 Mg.upf
CELL_PARAMETERS angstrom
3.571 0.011 0.000
-1.768 8.535 0.000
0.000 0.000 11.051
ATOMIC_POSITIONS crystal
Ho 0.837 0.179 0.493
Ho 0.163 0.821 0.507
Ho 0.163 0.821 0.993
Ho 0.837 0.179 0.007
Ho 0.296 0.090 0.750
Ho 0.704 0.910 0.250
La 0.986 0.457 0.750
La 0.014 0.543 0.250
Mg 0.646 0.785 0.750
Mg 0.354 0.215 0.250
! - E above lowest polymorph: 0.180 eV per atom
! - E_form: 0.169 eV/atom
! - Crystal system: monoclinic
! - Symmetry: P2_1/m (11)
! - DFT total energy: -3.8823 eV per atom

No. 2
! HoGa2Ni9 (PBE, relaxed); values from VASP
&SYSTEM
  ibrav = 0, nat = 24, ntyp = 3
/
ATOMIC_SPECIES
Ho 164.93 Ho.upf
Ni 58.69 Ni.upf
Ga 69.72 Ga.upf
CELL_PARAMETERS angstrom
-1.276 -4.406 -1.277
2.372 -2.759 7.150
-7.356 1.280 2.935
ATOMIC_POSITIONS crystal
Ho 0.000 0.000 0.000
Ho 0.000 0.500 0.500
Ni 0.500 0.000 0.500
Ni 0.241 0.823 0.323
Ni 0.759 0.177 0.677
Ni 0.500 0.292 0.436
Ni 0.500 0.064 0.208
Ni 0.500 0.500 0.000
Ni 0.759 0.323 0.177
Ni 0.241 0.323 0.177
Ni 0.500 0.208 0.936
Ni 0.759 0.823 0.323
Ni 0.500 0.936 0.792
Ni 0.500 0.564 0.292
Ni 0.500 0.436 0.708
Ni 0.759 0.677 0.823
Ni 0.241 0.677 0.823
Ni 0.500 0.708 0.564
Ni 0.500 0.792 0.064
Ni 0.241 0.177 0.677
Ga 0.000 0.122 0.378
Ga 0.000 0.878 0.622
Ga 0.000 0.622 0.122
Ga 0.000 0.378 0.878
! - E above lowest polymorph: 0.000 eV per atom
! - E_form: -0.288 eV/atom
! - Crystal system: tetragonal
! - Symmetry: P4/mbm (127)
! - DFT total energy: -5.5102 eV per atom